VASP calculation (PBE) on a relaxed LiTl2Cu crystal.

The space group is I-4m2 (No. 119) and the conventional cell measures 4.176, 4.176 and 9.655 Å, with angles of 90.00, 90.00 and 90.00 degrees. The asymmetric unit holds Li at (0.000, 0.000, 0.000), Tl at (0.000, 0.000, 0.500), Tl at (0.000, 0.500, 0.750) and Cu at (0.000, 0.500, 0.250).

The volume is 168.4 Å³/cell. The calculation puts the uncorrected energy at -2.59 eV/atom. For the magnetization, the calculation gives 0.00 μB/f.u. For the energy of formation from the pure elements, the calculation gives 0.091 eV per atom.